Below is a geometry-optimized MgSn3Pd7 structure, with properties calculated at the PBE level.

Values from the calculation:
E: -4.93 eV per atom
space group: C2/m (12)
D(E_F): 3.2 states/eV per cell
crystal system: monoclinic
formation enthalpy at 0 K: -0.393 eV per atom

Cell lengths 5.392, 7.233, 7.233 Å; angles 83.90, 120.50, 120.50 degrees
Fractional positions:
Sn 0.000 0.231 0.769
Sn 0.000 0.769 0.231
Sn 0.500 0.000 0.000
Pd 0.676 0.810 0.810
Pd 0.324 0.190 0.190
Pd 0.335 0.066 0.588
Pd 0.000 0.500 0.500
Pd 0.665 0.412 0.934
Pd 0.665 0.934 0.412
Pd 0.335 0.588 0.066
Mg 0.500 0.500 0.500

Below is a geometry-optimized Mg8Sn3Pd2 structure, with properties calculated at the PBE level.

Values from the calculation:
E: -3.00 eV per atom
space group: Cmmm (65)
D(E_F): 4.4 states/eV per cell
crystal system: orthorhombic
formation enthalpy at 0 K: -0.292 eV per atom

Cell lengths 4.833, 8.754, 8.222 Å; angles 122.17, 90.00, 90.00 degrees
Fractional positions:
Mg 0.500 0.147 0.719
Mg 0.500 0.853 0.281
Mg 0.000 0.879 0.758
Mg 0.000 0.121 0.242
Mg 0.000 0.322 0.645
Mg 0.000 0.678 0.355
Mg 0.500 0.428 0.281
Mg 0.500 0.572 0.719
Pd 0.500 0.217 0.433
Pd 0.500 0.783 0.567
Sn 0.000 0.307 0.000
Sn 0.500 0.000 0.000
Sn 0.000 0.693 0.000

Below is a geometry-optimized Mg4Sn2Pd structure, with properties calculated at the PBE level.

Values from the calculation:
E: -3.06 eV per atom
space group: Cmmm (65)
D(E_F): 2.4 states/eV per cell
offset from the most stable computed form: 0.000 eV per formula unit
crystal system: orthorhombic
formation enthalpy at 0 K: -0.263 eV per atom

Cell lengths 4.463, 5.887, 5.887 Å; angles 88.63, 90.00, 90.00 degrees
Fractional positions:
Mg 0.500 0.000 0.500
Mg 0.000 0.708 0.708
Mg 0.500 0.500 0.000
Mg 0.000 0.292 0.292
Sn 0.000 0.788 0.212
Sn 0.000 0.212 0.788
Pd 0.500 0.500 0.500

Below is a geometry-optimized MgSn6Pd12 structure, with properties calculated at the PBE level.

Values from the calculation:
E: -5.10 eV per atom
space group: R-3 (148)
D(E_F): 8.1 states/eV per cell
crystal system: trigonal
formation enthalpy at 0 K: -0.475 eV per atom

Cell lengths 7.466, 7.466, 7.466 Å; angles 107.23, 107.23, 107.23 degrees
Fractional positions:
Sn 0.472 0.215 0.092
Sn 0.908 0.528 0.785
Sn 0.785 0.908 0.528
Sn 0.092 0.472 0.215
Sn 0.215 0.092 0.472
Sn 0.528 0.785 0.908
Pd 0.842 0.111 0.272
Pd 0.272 0.842 0.111
Pd 0.728 0.158 0.889
Pd 0.111 0.272 0.842
Pd 0.481 0.597 0.182
Pd 0.158 0.889 0.728
Pd 0.889 0.728 0.158
Pd 0.597 0.182 0.481
Pd 0.182 0.481 0.597
Pd 0.519 0.403 0.818
Pd 0.818 0.519 0.403
Pd 0.403 0.818 0.519
Mg 0.000 0.000 0.000

Below is a geometry-optimized Mg4SnPd15 structure, with properties calculated at the PBE level.

Values from the calculation:
E: -4.89 eV per atom
space group: P4/mmm (123)
D(E_F): 22.3 states/eV per cell
crystal system: tetragonal
formation enthalpy at 0 K: -0.478 eV per atom

Cell lengths 3.996, 3.996, 19.797 Å; angles 90.00, 90.00, 90.00 degrees
Fractional positions:
Pd 0.500 0.000 0.302
Pd 0.500 0.500 0.000
Pd 0.500 0.000 0.698
Pd 0.500 0.000 0.102
Pd 0.500 0.500 0.203
Pd 0.000 0.500 0.898
Pd 0.000 0.500 0.698
Pd 0.500 0.500 0.599
Pd 0.000 0.500 0.500
Pd 0.500 0.000 0.898
Pd 0.000 0.500 0.302
Pd 0.500 0.500 0.797
Pd 0.500 0.500 0.401
Pd 0.500 0.000 0.500
Pd 0.000 0.500 0.102
Mg 0.000 0.000 0.798
Mg 0.000 0.000 0.599
Mg 0.000 0.000 0.202
Mg 0.000 0.000 0.401
Sn 0.000 0.000 0.000

Below is a geometry-optimized Mg5Sn2Pd2 structure, with properties calculated at the PBE level.

Values from the calculation:
E: -3.29 eV per atom
space group: Cmce (64)
D(E_F): 6.5 states/eV per cell
crystal system: orthorhombic
formation enthalpy at 0 K: -0.359 eV per atom

Cell lengths 6.956, 6.803, 8.819 Å; angles 112.69, 90.00, 90.00 degrees
Fractional positions:
Mg 0.835 0.780 0.231
Mg 0.665 0.280 0.231
Mg 0.835 0.549 0.769
Mg 0.335 0.720 0.769
Mg 0.000 0.000 0.000
Mg 0.500 0.500 0.000
Mg 0.665 0.049 0.769
Mg 0.165 0.220 0.769
Mg 0.335 0.951 0.231
Mg 0.165 0.451 0.231
Sn 0.000 0.228 0.457
Sn 0.500 0.272 0.543
Sn 0.500 0.728 0.457
Sn 0.000 0.772 0.543
Pd 0.641 0.863 0.000
Pd 0.141 0.637 0.000
Pd 0.359 0.137 0.000
Pd 0.859 0.363 0.000

Below is a geometry-optimized MgSn2Pd4 structure, with properties calculated at the PBE level.

Values from the calculation:
E: -4.86 eV per atom
space group: P1 (1)
D(E_F): 6.5 states/eV per cell
offset from the most stable computed form: 0.059 eV per formula unit
crystal system: triclinic
formation enthalpy at 0 K: -0.525 eV per atom

Cell lengths 5.872, 7.039, 7.107 Å; angles 112.49, 103.04, 103.30 degrees
Fractional positions:
Sn 0.066 0.461 0.773
Sn 0.800 0.932 0.384
Sn 0.530 0.407 0.683
Sn 0.576 0.241 0.153
Pd 0.061 0.289 0.332
Pd 0.515 0.812 0.965
Pd 0.340 0.995 0.342
Pd 0.221 0.101 0.749
Pd 0.740 0.110 0.791
Pd 0.368 0.537 0.161
Pd 0.820 0.632 0.534
Pd 0.891 0.583 0.118
Mg 0.317 0.734 0.542
Mg 0.006 0.916 0.972

Below is a geometry-optimized MgSn2Pd3 structure, with properties calculated at the PBE level.

Values from the calculation:
E: -4.75 eV per atom
space group: Cmmm (65)
D(E_F): 4.7 states/eV per cell
offset from the most stable computed form: 0.000 eV per formula unit
crystal system: orthorhombic
formation enthalpy at 0 K: -0.551 eV per atom

Cell lengths 4.690, 7.406, 6.507 Å; angles 90.00, 90.00, 71.54 degrees
Fractional positions:
Sn 0.332 0.335 0.500
Sn 0.000 0.000 0.000
Sn 0.000 0.000 0.500
Sn 0.668 0.665 0.500
Pd 0.167 0.666 0.242
Pd 0.167 0.666 0.758
Pd 0.833 0.334 0.758
Pd 0.500 0.000 0.760
Pd 0.833 0.334 0.242
Pd 0.500 0.000 0.240
Mg 0.670 0.661 0.000
Mg 0.330 0.339 0.000

Below is a geometry-optimized Mg2SnPd3 structure, with properties calculated at the PBE level.

Values from the calculation:
E: -4.48 eV per atom
space group: Cmmm (65)
D(E_F): 1.5 states/eV per cell
crystal system: orthorhombic
formation enthalpy at 0 K: -0.682 eV per atom

Cell lengths 3.288, 4.529, 7.180 Å; angles 108.39, 90.00, 90.00 degrees
Fractional positions:
Mg 0.000 0.330 0.660
Mg 0.000 0.670 0.340
Pd 0.500 0.834 0.667
Pd 0.500 0.500 0.000
Pd 0.500 0.166 0.333
Sn 0.000 0.000 0.000

Below is a geometry-optimized MgSnPd3 structure, with properties calculated at the PBE level.

Values from the calculation:
E: -4.02 eV per atom
space group: Pm-3m (221)
D(E_F): 1.7 states/eV per cell
offset from the most stable computed form: 4.147 eV per formula unit
crystal system: cubic
formation enthalpy at 0 K: 0.211 eV per atom

Cell lengths 4.922, 4.922, 4.922 Å; angles 90.00, 90.00, 90.00 degrees
Fractional positions:
Pd 0.000 0.000 0.500
Pd 0.000 0.500 0.000
Pd 0.500 0.000 0.000
Sn 0.000 0.000 0.000
Mg 0.500 0.500 0.500

Below is a geometry-optimized Mg5Sn2Pd12 structure, with properties calculated at the PBE level.

Values from the calculation:
E: -4.68 eV per atom
space group: C2/m (12)
D(E_F): 6.7 states/eV per cell
crystal system: monoclinic
formation enthalpy at 0 K: -0.564 eV per atom

Cell lengths 8.170, 7.650, 6.051 Å; angles 93.29, 90.00, 122.28 degrees
Fractional positions:
Mg 0.245 0.490 0.526
Mg 0.000 0.000 0.500
Mg 0.755 0.510 0.474
Mg 0.332 0.664 0.079
Mg 0.668 0.336 0.921
Pd 0.826 0.203 0.600
Pd 0.455 0.910 0.737
Pd 0.865 0.730 0.118
Pd 0.043 0.606 0.797
Pd 0.622 0.797 0.400
Pd 0.563 0.606 0.797
Pd 0.174 0.797 0.400
Pd 0.378 0.203 0.600
Pd 0.545 0.090 0.263
Pd 0.437 0.394 0.203
Pd 0.957 0.394 0.203
Pd 0.135 0.270 0.882
Sn 0.229 0.000 0.000
Sn 0.771 0.000 0.000

Below is a geometry-optimized Mg2Sn2Pd structure, with properties calculated at the PBE level.

Values from the calculation:
E: -3.40 eV per atom
space group: P4/mbm (127)
D(E_F): 3.5 states/eV per cell
offset from the most stable computed form: 1.143 eV per formula unit
crystal system: tetragonal
formation enthalpy at 0 K: -0.120 eV per atom

Cell lengths 7.009, 7.009, 4.531 Å; angles 90.00, 90.00, 90.00 degrees
Fractional positions:
Mg 0.847 0.653 0.000
Mg 0.653 0.153 0.000
Mg 0.153 0.347 0.000
Mg 0.347 0.847 0.000
Sn 0.663 0.837 0.500
Sn 0.163 0.663 0.500
Sn 0.337 0.163 0.500
Sn 0.837 0.337 0.500
Pd 0.500 0.500 0.000
Pd 0.000 0.000 0.000

Below is a geometry-optimized MgSnPd structure, with properties calculated at the PBE level.

Values from the calculation:
E: -4.01 eV per atom
space group: P3m1 (156)
D(E_F): 1.1 states/eV per cell
crystal system: trigonal
formation enthalpy at 0 K: -0.413 eV per atom

Cell lengths 3.162, 4.647, 4.647 Å; angles 120.00, 90.00, 90.00 degrees
Fractional positions:
Pd 0.168 0.333 0.667
Sn 0.165 0.000 0.000
Mg 0.666 0.667 0.333

Below is a geometry-optimized Mg2Sn2Pd structure, with properties calculated at the PBE level.

Values from the calculation:
E: -3.52 eV per atom
space group: P4/mbm (127)
D(E_F): 3.5 states/eV per cell
offset from the most stable computed form: 0.532 eV per formula unit
crystal system: tetragonal
formation enthalpy at 0 K: -0.243 eV per atom

Cell lengths 7.063, 7.063, 4.505 Å; angles 90.00, 90.00, 90.00 degrees
Fractional positions:
Sn 0.353 0.853 0.000
Sn 0.647 0.147 0.000
Sn 0.853 0.647 0.000
Sn 0.147 0.353 0.000
Pd 0.500 0.500 0.000
Pd 0.000 0.000 0.000
Mg 0.335 0.165 0.500
Mg 0.665 0.835 0.500
Mg 0.835 0.335 0.500
Mg 0.165 0.665 0.500

Below is a geometry-optimized Mg2SnPd6 structure, with properties calculated at the PBE level.

Values from the calculation:
E: -4.58 eV per atom
space group: C2/m (12)
D(E_F): 2.5 states/eV per cell
crystal system: monoclinic
formation enthalpy at 0 K: -0.319 eV per atom

Cell lengths 4.278, 6.062, 7.434 Å; angles 114.06, 106.93, 90.00 degrees
Fractional positions:
Pd 0.831 0.579 0.665
Pd 0.831 0.086 0.665
Pd 0.169 0.914 0.335
Pd 0.500 0.258 0.000
Pd 0.169 0.421 0.335
Pd 0.500 0.742 0.000
Mg 0.672 0.669 0.339
Mg 0.328 0.331 0.661
Sn 0.000 0.000 0.000

Below is a geometry-optimized Mg2SnPd structure, with properties calculated at the PBE level.

Values from the calculation:
E: -3.41 eV per atom
space group: R3m (160)
D(E_F): 0.9 states/eV per cell
crystal system: trigonal
formation enthalpy at 0 K: -0.318 eV per atom

Cell lengths 3.233, 3.233, 9.257 Å; angles 79.94, 79.94, 60.00 degrees
Fractional positions:
Sn 0.500 0.500 0.499
Mg 0.071 0.071 0.786
Mg 0.262 0.262 0.214
Pd 0.667 0.667 0.000

Below is a geometry-optimized MgSnPd2 structure, with properties calculated at the PBE level.

Values from the calculation:
E: -4.31 eV per atom
space group: I-42d (122)
D(E_F): 2.7 states/eV per cell
crystal system: tetragonal
formation enthalpy at 0 K: -0.317 eV per atom

Cell lengths 7.233, 7.233, 5.887 Å; angles 52.10, 52.10, 90.00 degrees
Fractional positions:
Sn 0.750 0.250 0.500
Sn 0.000 0.000 0.000
Mg 0.250 0.750 0.500
Mg 0.500 0.500 0.000
Pd 0.375 0.380 0.750
Pd 0.875 0.870 0.750
Pd 0.130 0.625 0.250
Pd 0.620 0.125 0.250

Below is a geometry-optimized MgSnPd6 structure, with properties calculated at the PBE level.

Values from the calculation:
E: -5.09 eV per atom
space group: P4/mmm (123)
D(E_F): 8.6 states/eV per cell
offset from the most stable computed form: 0.000 eV per formula unit
crystal system: tetragonal
formation enthalpy at 0 K: -0.492 eV per atom

Cell lengths 4.015, 5.653, 5.653 Å; angles 89.98, 90.00, 90.00 degrees
Fractional positions:
Pd 0.000 0.751 0.249
Pd 0.000 0.249 0.249
Pd 0.500 0.000 0.500
Pd 0.500 0.500 0.000
Pd 0.000 0.249 0.751
Pd 0.000 0.751 0.751
Mg 0.500 0.000 0.000
Sn 0.500 0.500 0.500

Below is a geometry-optimized Mg5SnPd6 structure, with properties calculated at the PBE level.

Values from the calculation:
E: -4.31 eV per atom
space group: P2/m (10)
D(E_F): 4.7 states/eV per cell
crystal system: monoclinic
formation enthalpy at 0 K: -0.719 eV per atom

Cell lengths 4.592, 6.250, 7.216 Å; angles 90.00, 72.76, 90.00 degrees
Fractional positions:
Mg 0.667 0.500 0.665
Mg 0.333 0.500 0.335
Mg 0.670 0.000 0.662
Mg 0.000 0.500 0.000
Mg 0.330 0.000 0.338
Pd 0.500 0.251 0.000
Pd 0.500 0.749 0.000
Pd 0.832 0.750 0.333
Pd 0.832 0.250 0.333
Pd 0.168 0.250 0.667
Pd 0.168 0.750 0.667
Sn 0.000 0.000 0.000

Below is a geometry-optimized MgSn4Pd15 structure, with properties calculated at the PBE level.

Values from the calculation:
E: -5.27 eV per atom
space group: P4/mmm (123)
D(E_F): 11.3 states/eV per cell
crystal system: tetragonal
formation enthalpy at 0 K: -0.497 eV per atom

Cell lengths 4.032, 4.032, 20.061 Å; angles 90.00, 90.00, 90.00 degrees
Fractional positions:
Pd 0.500 0.500 0.801
Pd 0.000 0.500 0.098
Pd 0.500 0.000 0.500
Pd 0.500 0.000 0.098
Pd 0.000 0.500 0.299
Pd 0.000 0.500 0.500
Pd 0.500 0.500 0.000
Pd 0.500 0.500 0.600
Pd 0.500 0.000 0.299
Pd 0.000 0.500 0.701
Pd 0.500 0.500 0.400
Pd 0.000 0.500 0.902
Pd 0.500 0.500 0.199
Pd 0.500 0.000 0.902
Pd 0.500 0.000 0.701
Sn 0.000 0.000 0.399
Sn 0.000 0.000 0.601
Sn 0.000 0.000 0.804
Sn 0.000 0.000 0.196
Mg 0.000 0.000 0.000

Below is a geometry-optimized MgSnPd3 structure, with properties calculated at the PBE level.

Values from the calculation:
E: -4.74 eV per atom
space group: Pnma (62)
D(E_F): 6.8 states/eV per cell
offset from the most stable computed form: 0.560 eV per formula unit
crystal system: orthorhombic
formation enthalpy at 0 K: -0.507 eV per atom

Cell lengths 7.179, 6.647, 7.475 Å; angles 90.00, 90.00, 90.00 degrees
Fractional positions:
Pd 0.132 0.226 0.750
Pd 0.151 0.855 0.949
Pd 0.849 0.145 0.051
Pd 0.651 0.645 0.949
Pd 0.349 0.355 0.449
Pd 0.632 0.274 0.750
Pd 0.849 0.145 0.449
Pd 0.349 0.355 0.051
Pd 0.651 0.645 0.551
Pd 0.868 0.774 0.250
Pd 0.151 0.855 0.551
Pd 0.368 0.726 0.250
Sn 0.659 0.419 0.250
Sn 0.841 0.919 0.750
Sn 0.159 0.081 0.250
Sn 0.341 0.581 0.750
Mg 0.500 0.000 0.000
Mg 0.500 0.000 0.500
Mg 0.000 0.500 0.000
Mg 0.000 0.500 0.500